1.
# ErHS PBE-GGA relaxed
data_ErHS
_cell_length_a 3.8085
_cell_length_b 3.3986
_cell_length_c 6.2504
_cell_angle_alpha 90.00
_cell_angle_beta 106.67
_cell_angle_gamma 90.00
_symmetry_space_group_name_H-M 'P 1 m 1'
_symmetry_Int_Tables_number 6
loop_
_symmetry_equiv_pos_as_xyz
'x,y,z'
'x,-y,z'
loop_
_atom_site_label
_atom_site_fract_x
_atom_site_fract_y
_atom_site_fract_z
Er1 0.0000 0.0000 0.0000
H1 0.8973 0.5000 0.7819
S1 0.5733 0.5000 0.1556
# Calculated volume, Å³/cell: 78
# Calculated total energy, eV/cell: -15.31
# Magnetic moment, Bohr magnetons per cell: 0.000
# Crystal system: monoclinic

---

2.
# ErHS PBE-GGA relaxed
data_ErHS
_cell_length_a 6.0659
_cell_length_b 6.0659
_cell_length_c 6.0659
_cell_angle_alpha 90.00
_cell_angle_beta 90.00
_cell_angle_gamma 90.00
_symmetry_space_group_name_H-M 'F -4 3 m'
_symmetry_Int_Tables_number 216
_symmetry_space_group_name_Hall 'F -4 2 3'
loop_
_atom_site_label
_atom_site_fract_x
_atom_site_fract_y
_atom_site_fract_z
Er1 0.0000 0.0000 0.0000
H1 0.2500 0.2500 0.2500
S1 0.2500 0.2500 0.7500
# Calculated volume, Å³/cell: 223
# Calculated total energy, eV/cell: -63.22
# Magnetic moment, Bohr magnetons per cell: 0.000
# Crystal system: cubic

---

3.
# ErSn2HS4 PBE-GGA relaxed
data_ErSn2HS4
_cell_length_a 6.8929
_cell_length_b 3.9041
_cell_length_c 7.0470
_cell_angle_alpha 90.00
_cell_angle_beta 107.66
_cell_angle_gamma 90.00
_symmetry_space_group_name_H-M 'P 1 2/m 1'
_symmetry_Int_Tables_number 10
loop_
_symmetry_equiv_pos_as_xyz
'x,y,z'
'-x,-y,-z'
'-x,y,-z'
'x,-y,z'
loop_
_atom_site_label
_atom_site_fract_x
_atom_site_fract_y
_atom_site_fract_z
Er1 0.0000 0.0000 0.0000
Sn1 0.5000 0.0000 0.5000
Sn2 0.5000 0.5000 0.0000
H1 0.0000 0.5000 0.5000
S1 0.2381 0.5000 0.2270
S2 0.2602 0.0000 0.7772
# Calculated volume, Å³/cell: 181
# Calculated total energy, eV/cell: -36.64
# Magnetic moment, Bohr magnetons per cell: 0.585
# Crystal system: monoclinic